Er3Cd2Pd6 | GGA-PBE | optimized geometry

- ΔE to the lowest computed polymorph: 1.09 eV per formula unit
- ΔH_f (0 K): -0.604 eV per atom

a = 4.1769 Å, b = 4.1769 Å, c = 25.5716 Å
α = 90.00°, β = 90.00°, γ = 90.00°
Space group I4/mmm (No. 139)
Unique sites:
Er: 0.0000 0.0000 0.0000
Er: 0.0000 0.0000 0.1999
Cd: 0.0000 0.0000 0.4469
Pd: 0.0000 0.0000 0.3082
Pd: 0.0000 0.5000 0.1202

=====

Be2AuSe | GGA-PBE | optimized geometry

- Raw formation energy: -0.19 eV/atom

a = 3.5872 Å, b = 3.5184 Å, c = 5.6685 Å
α = 90.00°, β = 108.12°, γ = 90.00°
Space group Pm (No. 6)
Unique sites:
Be: 0.0000 0.0000 0.0000
Be: 0.4927 0.5000 0.9857
Au: 0.8639 0.5000 0.7231
Se: 0.6267 0.0000 0.2582

=====

Mg2OsCl | GGA-PBE | optimized geometry

- Raw formation energy: -0.19 eV/atom
- ΔE to the lowest computed polymorph: 0.43 eV per formula unit

a = 3.1472 Å, b = 3.1472 Å, c = 24.2471 Å
α = 90.00°, β = 90.00°, γ = 120.00°
Space group R-3m (No. 166, hexagonal axes)
Unique sites:
Mg: 0.0000 0.0000 0.2480
Os: 0.0000 0.0000 0.5000
Cl: 0.0000 0.0000 0.0000

=====

TlRuBr4 | GGA-PBE | optimized geometry

- Raw formation energy: -0.41 eV/atom
- ΔE to the lowest computed polymorph: 0.00 eV per formula unit

a = 17.0269 Å, b = 3.8758 Å, c = 12.4769 Å
α = 90.00°, β = 114.44°, γ = 90.00°
Space group C2/c (No. 15)
Unique sites:
Tl: 0.0000 0.2493 0.2500
Ru: 0.2500 0.2500 0.0000
Br: 0.0968 0.2502 0.9798
Br: 0.2169 0.2500 0.3552

=====

LiAc2CuH6 | GGA-PBE | optimized geometry

a = 5.5070 Å, b = 5.5190 Å, c = 7.8175 Å
α = 90.00°, β = 90.00°, γ = 90.00°
Space group Immm (No. 71)
Unique sites:
Li: 0.0000 0.0000 0.0000
Ac: 0.0000 0.5000 0.2498
Cu: 0.0000 0.0000 0.5000
H: 0.0000 0.0000 0.2593
H: 0.2413 0.2410 0.5000

=====

Te3P | GGA-PBE | optimized geometry

- Raw formation energy: 0.29 eV/atom
- ΔE to the lowest computed polymorph: 0.40 eV per formula unit

a = 3.7767 Å, b = 7.7770 Å, c = 9.1192 Å
α = 90.00°, β = 90.00°, γ = 90.00°
Space group Imm2 (No. 44)
Unique sites:
Te: 0.0000 0.0000 0.0000
Te: 0.0000 0.2249 0.6169
P: 0.0000 0.5000 0.0191

=====

HoPaTlGa | GGA-PBE | optimized geometry

- ΔH_f (0 K): -0.068 eV per atom

a = 7.3822 Å, b = 7.3822 Å, c = 7.3822 Å
α = 90.00°, β = 90.00°, γ = 90.00°
Space group F-43m (No. 216)
Unique sites:
Ho: 0.0000 0.0000 0.0000
Pa: 0.0000 0.0000 0.5000
Tl: 0.2500 0.2500 0.2500
Ga: 0.2500 0.2500 0.7500

=====

Li2Tm3Pb4 | GGA-PBE | optimized geometry

- ΔH_f (0 K): -0.356 eV per atom

a = 11.7032 Å, b = 4.5947 Å, c = 8.9011 Å
α = 90.00°, β = 109.34°, γ = 90.00°
Space group C2/m (No. 12)
Unique sites:
Li: 0.1963 0.0000 0.3833
Tm: 0.0000 0.5000 0.0000
Tm: 0.1250 0.0000 0.6940
Pb: 0.0764 0.5000 0.3802
Pb: 0.1986 0.0000 0.0832

=====

Li3SnBr | GGA-PBE | optimized geometry

- Raw formation energy: -0.14 eV/atom
- ΔE to the lowest computed polymorph: 1.81 eV per formula unit

a = 5.3561 Å, b = 5.3561 Å, c = 5.3561 Å
α = 90.00°, β = 90.00°, γ = 90.00°
Space group Pm-3m (No. 221)
Unique sites:
Li: 0.0000 0.0000 0.5000
Sn: 0.0000 0.0000 0.0000
Br: 0.5000 0.5000 0.5000

=====

USbRu | GGA-PBE | optimized geometry

- Raw formation energy: -0.05 eV/atom

a = 5.0193 Å, b = 9.8285 Å, c = 4.7632 Å
α = 90.00°, β = 90.00°, γ = 90.00°
Space group Cmcm (No. 63)
Unique sites:
U: 0.0000 0.0567 0.2500
Sb: 0.0000 0.2602 0.7500
Ru: 0.0000 0.3946 0.2500

=====

Ac2AlGa7 | GGA-PBE | optimized geometry

- ΔH_f (0 K): -0.460 eV per atom

a = 4.5618 Å, b = 4.5618 Å, c = 10.5570 Å
α = 90.00°, β = 90.00°, γ = 90.00°
Space group P-4m2 (No. 115)
Unique sites:
Ac: 0.0000 0.5000 0.2489
Al: 0.0000 0.0000 0.5000
Ga: 0.0000 0.0000 0.0000
Ga: 0.0000 0.5000 0.6290
Ga: 0.0000 0.5000 0.8719
Ga: 0.5000 0.5000 0.0000
Ga: 0.5000 0.5000 0.5000

=====

SmDy3Hg12 | GGA-PBE | optimized geometry

- ΔH_f (0 K): -0.321 eV per atom

a = 4.5345 Å, b = 4.5345 Å, c = 19.2415 Å
α = 90.00°, β = 90.00°, γ = 90.00°
Space group P4/mmm (No. 123)
Unique sites:
Sm: 0.0000 0.0000 0.0000
Dy: 0.0000 0.0000 0.2517
Dy: 0.0000 0.0000 0.5000
Hg: 0.0000 0.5000 0.1272
Hg: 0.0000 0.5000 0.3757
Hg: 0.5000 0.5000 0.0000
Hg: 0.5000 0.5000 0.2514
Hg: 0.5000 0.5000 0.5000

=====

Number 1: DOS at the Fermi energy 4.41 states/eV/f.u., raw total energy -4.85 eV/atom, spin magnetization 0.00 μB per formula unit. Number 2: DOS at the Fermi energy 0.98 states/eV/f.u., raw total energy -3.75 eV/atom, spin magnetization 0.00 μB per formula unit. Number 3: DOS at the Fermi energy 3.06 states/eV/f.u., raw total energy -4.26 eV/atom, spin magnetization 0.01 μB per formula unit. Number 4: DOS at the Fermi energy 3.41 states/eV/f.u., raw total energy -3.47 eV/atom, spin magnetization 1.03 μB per formula unit. Number 5: DOS at the Fermi energy 5.36 states/eV/f.u., raw total energy -3.72 eV/atom, spin magnetization 0.01 μB per formula unit. Number 6: DOS at the Fermi energy 2.51 states/eV/f.u., raw total energy -3.42 eV/atom, spin magnetization 0.00 μB per formula unit. Number 7: DOS at the Fermi energy 8.23 states/eV/f.u., raw total energy -4.93 eV/atom, spin magnetization 1.22 μB per formula unit. Number 8: DOS at the Fermi energy 3.98 states/eV/f.u., raw total energy -3.92 eV/atom, spin magnetization 0.00 μB per formula unit. Number 9: DOS at the Fermi energy 3.35 states/eV/f.u., raw total energy -2.42 eV/atom, spin magnetization 2.00 μB per formula unit. Number 10: DOS at the Fermi energy 3.66 states/eV/f.u., raw total energy -8.28 eV/atom, spin magnetization 1.58 μB per formula unit. Number 11: DOS at the Fermi energy 2.78 states/eV/f.u., raw total energy -3.77 eV/atom, spin magnetization 0.00 μB per formula unit. Number 12: DOS at the Fermi energy 10.50 states/eV/f.u., raw total energy -1.71 eV/atom, spin magnetization 0.00 μB per formula unit.